[1]
A plane-wave DFT calculation with PBE-GGA was carried out for Tb3PbC after structural relaxation.

```
Tb3PbC
1.0
5.704 0.000 0.000
0.000 5.704 0.000
0.000 0.000 5.704
Tb Pb C
3 1 1
direct
0.000 0.000 0.500 Tb
0.000 0.500 0.000 Tb
0.500 0.000 0.000 Tb
0.000 0.000 0.000 Pb
0.500 0.500 0.500 C
```

The calculation puts the calculated total energy at -18.77 eV per cell. As for the polymorph energy (0 for the lowest one): 2137 meV/atom. The calculation puts the formation energy from the elements at 1.610 eV/atom. Its spin magnetization is 0.001 μB/cell.



[2]
A plane-wave DFT calculation with PBE-GGA was carried out for TcMoPt2 after structural relaxation.

```
TcMoPt2
1.0
-1.989 1.989 3.858
1.989 -1.989 3.858
1.989 1.989 -3.858
Tc Mo Pt
1 1 2
direct
0.000 0.000 0.000 Tc
0.250 0.750 0.500 Mo
0.500 0.500 0.000 Pt
0.750 0.250 0.500 Pt
```

The calculation puts the calculated total energy at -34.04 eV per cell. As for the polymorph energy (0 for the lowest one): 64 meV/atom. The calculation puts the formation energy from the elements at -0.191 eV/atom. Its spin magnetization is 0.000 μB/cell.



[3]
A plane-wave DFT calculation with PBE-GGA was carried out for K2Sb2As after structural relaxation.

```
K2Sb2As
1.0
-2.084 2.084 10.657
2.084 -2.084 10.657
2.084 2.084 -10.657
K Sb As
2 2 1
direct
0.093 0.093 0.000 K
0.907 0.907 0.000 K
0.250 0.750 0.500 Sb
0.750 0.250 0.500 Sb
0.500 0.500 0.000 As
```

The calculation puts the calculated total energy at -15.35 eV per cell. As for the polymorph energy (0 for the lowest one): 186 meV/atom. Its spin magnetization is 0.000 μB/cell. The uncorrected formation energy comes out at -0.053 eV per atom.